Entry 1:
Compound: H2SeICl
Source: Alexandria
Functional: SCAN
Structure: PBEsol geometry

symmetry = P4/mmm, No. 123
E = -13.810 eV per atom

Lattice parameters (Å, degrees): 3.8263 3.8263 7.8564 90.00 90.00 90.00
Sites, in units of the cell vectors:
I (0.0000, 0.0000, 0.0000)
H (0.0000, 0.5000, 0.0000)
H (0.5000, 0.0000, 0.0000)
Se (0.0000, 0.0000, 0.5000)
Cl (0.5000, 0.5000, 0.5000)

Entry 2:
Compound: Te2HICl
Source: Alexandria
Functional: SCAN
Structure: PBEsol geometry

symmetry = P4/mmm, No. 123
E = -24.141 eV per atom

Lattice parameters (Å, degrees): 4.2623 4.2623 7.2911 90.00 90.00 90.00
Sites, in units of the cell vectors:
I (0.0000, 0.0000, 0.5000)
H (0.0000, 0.0000, 0.0000)
Te (0.0000, 0.5000, 0.0000)
Te (0.5000, 0.0000, 0.0000)
Cl (0.5000, 0.5000, 0.5000)

Entry 3:
Compound: InHCl2
Source: Alexandria
Functional: SCAN
Structure: PBEsol geometry

symmetry = R-3m, No. 166
E = -13.829 eV per atom

Lattice parameters (Å, degrees): 4.8466 4.8466 6.6408 68.60 68.60 60.00
Sites, in units of the cell vectors:
H (0.0000, 0.0000, 0.0000)
In (0.5000, 0.5000, 0.5000)
Cl (0.9140, 0.9140, 0.2581)
Cl (0.0860, 0.0860, 0.7419)

Entry 4:
Compound: InH4NCl4
Source: Alexandria
Functional: SCAN
Structure: PBEsol geometry

symmetry = I4_1/a, No. 88
E = -9.745 eV per atom

Lattice parameters (Å, degrees): 7.1473 7.1473 8.8113 113.93 113.93 90.00
Sites, in units of the cell vectors:
In (0.5000, 0.5000, 0.0000)
In (0.7500, 0.2500, 0.5000)
H (0.0966, 0.7481, 0.4158)
H (0.3323, 0.9034, 0.5842)
H (0.2519, 0.6808, 0.5842)
H (0.9308, 0.0823, 0.0842)
H (0.3192, 0.6677, 0.4158)
H (0.9981, 0.0692, 0.9158)
H (0.9177, 0.8466, 0.9158)
H (0.1534, 0.0019, 0.0842)
N (0.2500, 0.7500, 0.5000)
N (0.0000, 0.0000, 0.0000)
Cl (0.2465, 0.6387, 0.8220)
Cl (0.8887, 0.3255, 0.3220)
Cl (0.8167, 0.7535, 0.1780)
Cl (0.5755, 0.1833, 0.8220)
Cl (0.6745, 0.5667, 0.6780)
Cl (0.4333, 0.9965, 0.3220)
Cl (0.3613, 0.4245, 0.1780)
Cl (0.0035, 0.1113, 0.6780)

- Look up the E of the third one.
  -13.829 eV per atom